No. 1
The following is a DFT calculation (GGA-PBEsol) of In9Pb4S17 after structural relaxation.

Results
Total moment in μB/f.u.: 0.000
N(E_F) in states/eV per cell: 7.643
Raw formation energy in meV per atom: -573

```
data_In9Pb4S17
_chemical_formula_sum 'In18 Pb8 S34'
_cell_length_a 15.214
_cell_length_b 22.547
_cell_length_c 3.832
_cell_angle_alpha 90.00
_cell_angle_beta 90.00
_cell_angle_gamma 90.00
_symmetry_space_group_name_H-M 'P b a m'
_symmetry_Int_Tables_number 55
loop_
_symmetry_equiv_pos_as_xyz
'x,y,z'
'-x,-y,-z'
'-x,-y,z'
'x,y,-z'
'x+1/2,-y+1/2,-z'
'-x+1/2,y+1/2,z'
'-x+1/2,y+1/2,-z'
'x+1/2,-y+1/2,z'
loop_
_atom_site_label
_atom_site_fract_x
_atom_site_fract_y
_atom_site_fract_z
In1 0.000 0.000 0.000
In2 0.050 0.422 0.000
In3 0.066 0.136 0.500
In4 0.167 0.262 0.000
In5 0.231 0.891 0.500
Pb1 0.096 0.723 0.500
Pb2 0.207 0.565 0.500
S1 0.000 0.500 0.500
S2 0.019 0.210 0.000
S3 0.068 0.933 0.500
S4 0.102 0.629 0.000
S5 0.105 0.343 0.500
S6 0.133 0.071 0.000
S7 0.189 0.817 0.000
S8 0.212 0.460 0.000
S9 0.219 0.193 0.500
```

***

No. 2
The following is a DFT calculation (GGA-PBEsol) of Bi3BRh after structural relaxation.

Results
Total moment in μB/f.u.: 0.000
N(E_F) in states/eV per cell: 3.606
ΔH_f (0 K) in meV per atom: 956.4

```
data_Bi3BRh
_chemical_formula_sum 'Bi3 B1 Rh1'
_cell_length_a 4.833
_cell_length_b 4.833
_cell_length_c 4.833
_cell_angle_alpha 90.00
_cell_angle_beta 90.00
_cell_angle_gamma 90.00
_symmetry_space_group_name_H-M 'P m -3 m'
_symmetry_Int_Tables_number 221
_symmetry_space_group_name_Hall '-P 4 2 3'
loop_
_atom_site_label
_atom_site_fract_x
_atom_site_fract_y
_atom_site_fract_z
Bi1 0.000 0.000 0.500
B1 0.000 0.000 0.000
Rh1 0.500 0.500 0.500
```

***

No. 3
The following is a DFT calculation (GGA-PBEsol) of BaHgSe2 after structural relaxation.

Results
Total moment in μB/f.u.: 0.000
N(E_F) in states/eV per cell: 2.639
Raw formation energy in meV per atom: -835

```
data_BaHgSe2
_chemical_formula_sum 'Ba1 Hg1 Se2'
_cell_length_a 5.125
_cell_length_b 5.125
_cell_length_c 3.975
_cell_angle_alpha 90.00
_cell_angle_beta 90.00
_cell_angle_gamma 90.00
_symmetry_space_group_name_H-M 'P 4/m m m'
_symmetry_Int_Tables_number 123
_symmetry_space_group_name_Hall '-P 4 2'
loop_
_atom_site_label
_atom_site_fract_x
_atom_site_fract_y
_atom_site_fract_z
Ba1 0.000 0.000 0.000
Hg1 0.500 0.500 0.000
Se1 0.000 0.500 0.500
```

***

No. 4
The following is a DFT calculation (GGA-PBEsol) of AgAsW2 after structural relaxation.

Results
Total moment in μB/f.u.: 0.000
N(E_F) in states/eV per cell: 6.589
ΔH_f (0 K) in meV per atom: 677.7

```
data_AgAsW2
_chemical_formula_sum 'Ag2 As2 W4'
_cell_length_a 3.131
_cell_length_b 4.598
_cell_length_c 8.858
_cell_angle_alpha 90.00
_cell_angle_beta 90.00
_cell_angle_gamma 90.00
_symmetry_space_group_name_H-M 'C m m m'
_symmetry_Int_Tables_number 65
_symmetry_space_group_name_Hall '-C 2 2'
loop_
_atom_site_label
_atom_site_fract_x
_atom_site_fract_y
_atom_site_fract_z
Ag1 0.000 0.000 0.000
As1 0.000 0.000 0.500
W1 0.000 0.500 0.268
```

***

No. 5
The following is a DFT calculation (GGA-PBEsol) of TaMo5 after structural relaxation.

Results
Total moment in μB/f.u.: 0.000
N(E_F) in states/eV per cell: 5.591
ΔH_f (0 K) in meV per atom: -85.3

```
data_TaMo5
_chemical_formula_sum 'Ta2 Mo10'
_cell_length_a 9.962
_cell_length_b 3.146
_cell_length_c 6.301
_cell_angle_alpha 90.00
_cell_angle_beta 108.45
_cell_angle_gamma 90.00
_symmetry_space_group_name_H-M 'C 1 2/m 1'
_symmetry_Int_Tables_number 12
loop_
_symmetry_equiv_pos_as_xyz
'x,y,z'
'-x,-y,-z'
'-x,y,-z'
'x,-y,z'
'x+1/2,y+1/2,z'
'-x+1/2,-y+1/2,-z'
'-x+1/2,y+1/2,-z'
'x+1/2,-y+1/2,z'
loop_
_atom_site_label
_atom_site_fract_x
_atom_site_fract_y
_atom_site_fract_z
Ta1 0.000 0.000 0.000
Mo1 0.000 0.000 0.500
Mo2 0.168 0.500 0.831
Mo3 0.169 0.500 0.337
```

***

No. 6
The following is a DFT calculation (GGA-PBEsol) of Tc5Mo after structural relaxation.

Results
Total moment in μB/f.u.: 0.000
N(E_F) in states/eV per cell: 7.422
ΔH_f (0 K) in meV per atom: 78.5

```
data_Tc5Mo
_chemical_formula_sum 'Tc5 Mo1'
_cell_length_a 4.7338
_cell_length_b 4.7338
_cell_length_c 4.3907
_cell_angle_alpha 90.00
_cell_angle_beta 90.00
_cell_angle_gamma 120.00
_symmetry_space_group_name_H-M 'P -6 2 m'
_symmetry_Int_Tables_number 189
_symmetry_space_group_name_Hall 'P -6 -2'
loop_
_atom_site_label
_atom_site_fract_x
_atom_site_fract_y
_atom_site_fract_z
Tc1 0.0000 0.6636 0.0000
Tc2 0.3333 0.6667 0.5000
Mo1 0.0000 0.0000 0.5000
```

***

Number 1: ρ 6.08 g/cm3. Number 2: ρ 10.90 g/cm3. Number 3: ρ 7.89 g/cm3. Number 4: ρ 14.33 g/cm3. Number 5: ρ 11.71 g/cm3. Number 6: ρ 11.42 g/cm3.